The following is a GGA-PBE calculation of a relaxed Pr2NdMg3CdGa2 crystal, from the Open Quantum Materials Database.

Computed properties:
The value obtained for the total magnetization is 0.0 Bohr magnetons per cell. As for the space group: Amm2.

a = 4.6082 Å, b = 7.5578 Å, c = 7.5578 Å
α = 119.91°, β = 90.00°, γ = 90.00°
Closest atoms and distances in Å follow each position.
Sites, in units of the cell vectors:
Pr (0.0000, 0.2138, 0.7862)  4 Ga 3.22-3.23, 1 Cd 3.24, 2 Mg 3.37
Pr (0.0000, 0.7862, 0.2138)  4 Ga 3.22-3.23, 1 Cd 3.24, 2 Mg 3.37
Nd (0.0000, 0.3580, 0.3580)  4 Ga 3.21, 1 Cd 3.23, 2 Mg 3.37
Mg (0.5000, 0.0332, 0.0332)  2 Ga 2.90, 2 Cd 2.98
Mg (0.5000, 0.5383, 0.7854)  2 Ga 2.90-2.91, 2 Cd 2.96, 2 Mg 3.23-3.24
Mg (0.5000, 0.7854, 0.5383)  2 Ga 2.90-2.91, 2 Cd 2.96, 2 Mg 3.23-3.24
Cd (0.0000, 0.7844, 0.7844)  6 Mg 2.96-2.98, 1 Nd 3.23, 2 Pr 3.24
Ga (0.5000, 0.1203, 0.4522)  3 Mg 2.90-2.91, 2 Nd 3.21, 4 Pr 3.22-3.23
Ga (0.5000, 0.4522, 0.1203)  3 Mg 2.90-2.91, 2 Nd 3.21, 4 Pr 3.22-3.23

=====

The following is a GGA-PBE calculation of a relaxed AgTeNO crystal, from the Open Quantum Materials Database.

Computed properties:
As for the space group: P4/nmm.

a = 4.8895 Å, b = 4.8895 Å, c = 4.5987 Å
α = 90.00°, β = 90.00°, γ = 90.00°
Closest atoms and distances in Å follow each position.
Sites, in units of the cell vectors:
Ag (0.2500, 0.2500, 0.0047)  2 N 2.30, 4 O 2.44
Ag (0.7500, 0.7500, 0.9953)  2 N 2.30, 4 O 2.44
Te (0.2500, 0.7500, 0.5000)  2 O 2.30, 4 N 2.44
Te (0.7500, 0.2500, 0.5000)  2 O 2.30, 4 N 2.44
N (0.2500, 0.2500, 0.5044)  2 Ag 2.30, 4 Te 2.44
N (0.7500, 0.7500, 0.4956)  2 Ag 2.30, 4 Te 2.44
O (0.2500, 0.7500, 0.0000)  2 Te 2.30, 4 Ag 2.44
O (0.7500, 0.2500, 0.0000)  2 Te 2.30, 4 Ag 2.44

=====

The following is a GGA-PBE calculation of a relaxed CsFe2S3 crystal, from the Open Quantum Materials Database.

Computed properties:
The value obtained for the total magnetization is 0.4 Bohr magnetons per cell. As for the space group: P2_1/m.

a = 8.4038 Å, b = 3.5320 Å, c = 8.9136 Å
α = 90.00°, β = 113.99°, γ = 90.00°
Closest atoms and distances in Å follow each position.
Sites, in units of the cell vectors:
Cs (0.0048, 0.2500, 0.2638)  7 S 3.39-3.55, 2 Cs 3.53
Cs (0.9952, 0.7500, 0.7362)  7 S 3.39-3.55, 2 Cs 3.53
Fe (0.4659, 0.2500, 0.1597)  6 S 2.30-2.34
Fe (0.4829, 0.7500, 0.3907)  4 S 2.14-2.20
Fe (0.5171, 0.2500, 0.6093)  4 S 2.14-2.20
Fe (0.5341, 0.7500, 0.8403)  6 S 2.30-2.34
S (0.2828, 0.7500, 0.1473)  3 Fe 2.14-2.32
S (0.3565, 0.7500, 0.5642)  4 Fe 2.16-2.30
S (0.3722, 0.2500, 0.8778)  3 Fe 2.31-2.34
S (0.6278, 0.7500, 0.1222)  3 Fe 2.31-2.34
S (0.6435, 0.2500, 0.4358)  4 Fe 2.16-2.30
S (0.7172, 0.2500, 0.8527)  3 Fe 2.14-2.32

=====

The following is a GGA-PBE calculation of a relaxed DyHoPO crystal, from the Open Quantum Materials Database.

Computed properties:
The value obtained for the total magnetization is 0.0 Bohr magnetons per cell. As for the space group: P4/nmm.

a = 4.2961 Å, b = 4.2961 Å, c = 8.5054 Å
α = 90.00°, β = 90.00°, γ = 90.00°
Closest atoms and distances in Å follow each position.
Sites, in units of the cell vectors:
Dy (0.2500, 0.7500, 0.0000)  4 P 2.73, 4 Dy 3.04
Dy (0.7500, 0.2500, 0.0000)  4 P 2.73, 4 Dy 3.04
Ho (0.2500, 0.2500, 0.3987)  4 O 2.31
Ho (0.7500, 0.7500, 0.6013)  4 O 2.31
P (0.2500, 0.2500, 0.8011)  4 Dy 2.73
P (0.7500, 0.7500, 0.1989)  4 Dy 2.73
O (0.2500, 0.7500, 0.5000)  4 Ho 2.31
O (0.7500, 0.2500, 0.5000)  4 Ho 2.31

=====

The following is a GGA-PBE calculation of a relaxed NaDy3I5 crystal, from the Open Quantum Materials Database.

Computed properties:
The value obtained for the total magnetization is 2.4 Bohr magnetons per cell. As for the space group: P2.

a = 6.2365 Å, b = 8.9733 Å, c = 6.2688 Å
α = 90.00°, β = 104.67°, γ = 90.00°
Closest atoms and distances in Å follow each position.
Sites, in units of the cell vectors:
Na (0.0000, 0.0000, 0.0000)  4 I 2.85-2.87
Dy (0.0000, 0.5234, 0.5000)  6 I 3.24-3.41
Dy (0.5000, 0.0756, 0.5000)  5 I 3.13-3.27
Dy (0.5000, 0.5236, 0.0000)  6 I 3.26-3.30
I (0.2011, 0.2292, 0.7976)  1 Na 2.87
I (0.2699, 0.7739, 0.2524)  1 Na 2.85
I (0.5000, 0.4243, 0.5000)  5 Dy 3.13-3.26, 2 I 3.43
I (0.7301, 0.7739, 0.7476)  1 Na 2.85
I (0.7989, 0.2292, 0.2024)  1 Na 2.87

=====

The following is a GGA-PBE calculation of a relaxed Pa2Sb2O5 crystal, from the Open Quantum Materials Database.

Computed properties:
The value obtained for the total magnetization is 0.0 Bohr magnetons per cell. As for the space group: P4/mmm.

a = 4.1473 Å, b = 4.1473 Å, c = 8.5277 Å
α = 90.00°, β = 90.00°, γ = 90.00°
Closest atoms and distances in Å follow each position.
Sites, in units of the cell vectors:
Pa (0.0000, 0.0000, 0.2381)  5 O 2.20-2.23
Pa (0.0000, 0.0000, 0.7619)  5 O 2.20-2.23
Sb (0.5000, 0.5000, 0.0000)  8 O 3.45, 8 Pa 3.57
Sb (0.5000, 0.5000, 0.5000)  8 O 2.56
O (0.0000, 0.0000, 0.5000)  2 Pa 2.23
O (0.0000, 0.5000, 0.3233)  2 Pa 2.20
O (0.0000, 0.5000, 0.6767)  2 Pa 2.20
O (0.5000, 0.0000, 0.3233)  2 Pa 2.20
O (0.5000, 0.0000, 0.6767)  2 Pa 2.20

=====

Here are the calculated E_tot numbers, same order: -3.31 -4.31 -5.58 -6.79 -3.04 -7.44 (eV per atom).